Record 1
First-principles (GGA-PBEsol) data for crystalline MoOsBr at its relaxed geometry, as listed in the Alexandria database.

Values from the calculation:
**Crystal system**: cubic
**Formation energy from raw total energies**: 1148 meV/atom
**Energy above the lowest structure with this stoichiometry**: 0.87 eV/f.u.

a b c (Å): 4.2736 4.2736 4.2736
angles (deg): 60.00 60.00 60.00
Fractional positions:
Mo: 0.5000 0.5000 0.5000
Os: 0.2500 0.2500 0.2500
Br: 0.0000 0.0000 0.0000

***

Record 2
First-principles (GGA-PBEsol) data for crystalline ScAlIn at its relaxed geometry, as listed in the Alexandria database.

Values from the calculation:
**Crystal system**: cubic
**Formation energy**: -141 meV/atom

a b c (Å): 4.5485 4.5485 4.5485
angles (deg): 60.00 60.00 60.00
Fractional positions:
Sc: 0.5000 0.5000 0.5000
In: 0.0000 0.0000 0.0000
Al: 0.2500 0.2500 0.2500

***

Record 3
First-principles (GGA-PBEsol) data for crystalline Hf3MgCl at its relaxed geometry, as listed in the Alexandria database.

Values from the calculation:
**Crystal system**: cubic
**Formation energy from raw total energies**: 75 meV/atom

a b c (Å): 4.7168 4.7168 4.7168
angles (deg): 90.00 90.00 90.00
Fractional positions:
Cl: 0.0000 0.0000 0.0000
Hf: 0.0000 0.0000 0.5000
Hf: 0.5000 0.0000 0.0000
Hf: 0.0000 0.5000 0.0000
Mg: 0.5000 0.5000 0.5000

***

Record 4
First-principles (GGA-PBEsol) data for crystalline AlFe4 at its relaxed geometry, as listed in the Alexandria database.

Values from the calculation:
**Crystal system**: tetragonal
**Energy above the lowest structure with this stoichiometry**: 0.00 eV/f.u.
**Formation energy**: -74 meV/atom

a b c (Å): 3.8079 4.3111 4.3111
angles (deg): 78.75 63.79 63.79
Last column: magnetic moment on the atom in μB.
Fractional positions:
Fe: 0.5906 0.2090 0.6098  2.15
Fe: 0.7996 0.6098 0.7910  2.15
Fe: 0.4094 0.7910 0.3902  2.15
Fe: 0.2004 0.3902 0.2090  2.15
Al: 0.0000 0.0000 0.0000  -0.06

***

Record 5
First-principles (GGA-PBEsol) data for crystalline Tl2PRu2 at its relaxed geometry, as listed in the Alexandria database.

Values from the calculation:
**Crystal system**: tetragonal
**Formation energy**: 1090 meV/atom

a b c (Å): 3.8132 3.8132 7.0795
angles (deg): 105.62 105.62 90.00
Fractional positions:
Tl: 0.7500 0.2500 0.5000
Tl: 0.2500 0.7500 0.5000
Ru: 0.4103 0.4103 0.8206
Ru: 0.5897 0.5897 0.1794
P: 0.0000 0.0000 0.0000

***

Record 6
First-principles (GGA-PBEsol) data for crystalline RbSb2IO at its relaxed geometry, as listed in the Alexandria database.

Values from the calculation:
**Crystal system**: tetragonal
**Formation energy from raw total energies**: -356 meV/atom

a b c (Å): 4.5979 4.5979 7.3187
angles (deg): 90.00 90.00 90.00
Fractional positions:
I: 0.0000 0.0000 0.5000
Rb: 0.5000 0.5000 0.5000
O: 0.0000 0.0000 0.0000
Sb: 0.0000 0.5000 0.0000
Sb: 0.5000 0.0000 0.0000

***

Record 7
First-principles (GGA-PBEsol) data for crystalline CrSb2Cl at its relaxed geometry, as listed in the Alexandria database.

Values from the calculation:
**Crystal system**: tetragonal
**Formation energy from raw total energies**: 87 meV/atom

a b c (Å): 3.1788 3.1788 8.9602
angles (deg): 90.00 90.00 90.00
Last column: magnetic moment on the atom in μB.
Fractional positions:
Sb: 0.0000 0.0000 0.9482  -0.07
Sb: 0.5000 0.5000 0.2305  0.03
Cl: 0.0000 0.0000 0.5819  0.05
Cr: 0.5000 0.5000 0.7394  3.58

***

Record 8
First-principles (GGA-PBEsol) data for crystalline Ru4PtSe at its relaxed geometry, as listed in the Alexandria database.

Values from the calculation:
**Crystal system**: cubic
**Formation energy from raw total energies**: 810 meV/atom

a b c (Å): 5.0447 5.0447 5.0447
angles (deg): 60.00 60.00 60.00
Fractional positions:
Ru: 0.6255 0.1234 0.6255
Ru: 0.6255 0.6255 0.6255
Ru: 0.1234 0.6255 0.6255
Ru: 0.6255 0.6255 0.1234
Pt: 0.0000 0.0000 0.0000
Se: 0.2500 0.2500 0.2500